KAlPb2: optimized geometry, GGA-PBE.

Output
As for the magnetization: 0.000 μB per formula unit.

```
data_KAlPb2
_chemical_formula_sum 'K1 Al1 Pb2'
_space_group_name_H-M_alt 'P 1 m 1'
_space_group_IT_number 6
_space_group_name_Hall 'P -2y'
_cell_length_a 3.586
_cell_length_b 5.123
_cell_length_c 7.407
_cell_angle_alpha 90.00
_cell_angle_beta 103.30
_cell_angle_gamma 90.00
loop_
_atom_site_label
_atom_site_fract_x
_atom_site_fract_y
_atom_site_fract_z
_atom_site_occupancy
K1 0.000 0.000 0.000 1
Al1 0.374 0.500 0.721 1
Pb1 0.255 0.000 0.523 1
Pb2 0.675 0.500 0.348 1
```


KAl2Pb: optimized geometry, GGA-PBE.

Output
As for the magnetization: 0.000 μB per formula unit.

```
data_KAl2Pb
_chemical_formula_sum 'K1 Al2 Pb1'
_space_group_name_H-M_alt 'P 4/m m m'
_space_group_IT_number 123
_space_group_name_Hall '-P 4 2'
_cell_length_a 3.853
_cell_length_b 3.853
_cell_length_c 7.992
_cell_angle_alpha 90.00
_cell_angle_beta 90.00
_cell_angle_gamma 90.00
loop_
_atom_site_label
_atom_site_fract_x
_atom_site_fract_y
_atom_site_fract_z
_atom_site_occupancy
K1 0.000 0.000 0.000 1
Al1 0.500 0.500 0.318 1
Pb1 0.000 0.000 0.500 1
```


KAl2Pb: optimized geometry, GGA-PBE.

Output
As for the magnetization: 0.000 μB per formula unit.

```
data_KAl2Pb
_chemical_formula_sum 'K2 Al4 Pb2'
_space_group_name_H-M_alt 'I m m 2'
_space_group_IT_number 44
_space_group_name_Hall 'I 2 -2'
_cell_length_a 3.217
_cell_length_b 6.138
_cell_length_c 11.466
_cell_angle_alpha 90.00
_cell_angle_beta 90.00
_cell_angle_gamma 90.00
loop_
_atom_site_label
_atom_site_fract_x
_atom_site_fract_y
_atom_site_fract_z
_atom_site_occupancy
K1 0.000 0.000 0.000 1
Al1 0.000 0.000 0.523 1
Al2 0.000 0.500 0.216 1
Pb1 0.000 0.500 0.794 1
```


KAlPb2: optimized geometry, GGA-PBE.

Output
As for the magnetization: 0.000 μB per formula unit.

```
data_KAlPb2
_chemical_formula_sum 'K3 Al3 Pb6'
_space_group_name_H-M_alt 'R -3 m'
_space_group_IT_number 166
_space_group_name_Hall '-R 3 2"'
_cell_length_a 3.7241
_cell_length_b 3.7241
_cell_length_c 30.4732
_cell_angle_alpha 90.00
_cell_angle_beta 90.00
_cell_angle_gamma 120.00
loop_
_atom_site_label
_atom_site_fract_x
_atom_site_fract_y
_atom_site_fract_z
_atom_site_occupancy
K1 0.0000 0.0000 0.0000 1
Al1 0.0000 0.0000 0.5000 1
Pb1 0.0000 0.0000 0.2357 1
```


| no. | formation energy (eV per atom) | raw total energy (eV per cell) |
| --- | --- | --- |
| 1 | 0.098 | -11.9 |
| 2 | 0.249 | -11.3 |
| 3 | 0.274 | -22.4 |
| 4 | 0.068 | -36.0 |